A geometry-optimized CaCd2P structure. Source: the Alexandria database, functional GGA-PBEsol.

Properties
**Energy of formation**: -44 kJ/mol of atoms
**Mass density**: 5.51 Mg/m³

```
CaCd2P
1.0
3.8065 0.0000 0.0000
0.0000 4.0937 0.0000
0.0000 0.0000 11.4387
Ca Cd P
2 4 2
direct
0.0000 0.0000 0.0000 Ca
0.0000 0.5000 0.5000 Ca
0.0000 0.0000 0.7178 Cd
0.0000 0.5000 0.2178 Cd
0.5000 0.0000 0.3143 Cd
0.5000 0.5000 0.8143 Cd
0.5000 0.0000 0.5494 P
0.5000 0.5000 0.0494 P
```